Below is a geometry-optimized BaFeCo2 structure, with properties calculated at the GGA-PBE level.

Geometry as CIF:
```
data_BaFeCo2
_chemical_formula_sum 'Ba4 Fe4 Co8'
_symmetry_space_group_name_H-M 'I 41/a m d'
_symmetry_Int_Tables_number 141
_cell_length_a 4.904
_cell_length_b 4.904
_cell_length_c 14.440
_cell_angle_alpha 90.00
_cell_angle_beta 90.00
_cell_angle_gamma 90.00
loop_
_symmetry_equiv_pos_as_xyz
'x,y,z'
'-x,-y,-z'
'-y+1/4,x+3/4,z+1/4'
'y+1/4,-x+3/4,-z+1/4'
'-x+1/2,-y,z+1/2'
'x+1/2,y,-z+1/2'
'y+1/4,-x+1/4,z+3/4'
'-y+1/4,x+1/4,-z+3/4'
'x,-y,-z'
'-x,y,z'
'-y+1/4,-x+1/4,-z+3/4'
'y+1/4,x+1/4,z+3/4'
'-x+1/2,y,-z+1/2'
'x+1/2,-y,z+1/2'
'y+1/4,x+3/4,-z+1/4'
'-y+1/4,-x+3/4,z+1/4'
'x+1/2,y+1/2,z+1/2'
'-x+1/2,-y+1/2,-z+1/2'
'-y+3/4,x+1/4,z+3/4'
'y+3/4,-x+1/4,-z+3/4'
'-x,-y+1/2,z'
'x,y+1/2,-z'
'y+3/4,-x+3/4,z+1/4'
'-y+3/4,x+3/4,-z+1/4'
'x+1/2,-y+1/2,-z+1/2'
'-x+1/2,y+1/2,z+1/2'
'-y+3/4,-x+3/4,-z+1/4'
'y+3/4,x+3/4,z+1/4'
'-x,y+1/2,-z'
'x,-y+1/2,z'
'y+3/4,x+1/4,-z+3/4'
'-y+3/4,-x+1/4,z+3/4'
loop_
_atom_site_label
_atom_site_type_symbol
_atom_site_fract_x
_atom_site_fract_y
_atom_site_fract_z
Ba1 Ba 0.000 0.250 0.375
Fe1 Fe 0.000 0.250 0.875
Co1 Co 0.000 0.000 0.000
```

## Properties
DOS(E_F) = 22.2 states/eV per cell
Calculated formation energy = 0.73 eV per atom